No. 1
## Ce3Nd3ErSe8 (PBE)

Data for a relaxed Ce3Nd3ErSe8 crystal.

The calculation puts the uncorrected formation energy at -1.857 eV/atom. As for the total DFT energy (no corrections): -92.40 eV/cell.

Lattice parameters (Å, degrees): 8.4080 8.4080 8.4080 59.95 59.95 59.95
Closest atoms and distances in Å follow each position.
Fractional positions:
Ce 0.0000 0.5000 0.5000  6 Se 2.97
Ce 0.5000 0.0000 0.5000  6 Se 2.97
Ce 0.5000 0.5000 0.0000  6 Se 2.97
Nd 0.0000 0.0000 0.5000  6 Se 2.98
Nd 0.0000 0.5000 0.0000  6 Se 2.98
Nd 0.5000 0.0000 0.0000  6 Se 2.98
Er 0.0000 0.0000 0.0000  6 Se 2.90
Se 0.2442 0.2442 0.7548  1 Er 2.90, 2 Ce 2.97, 2 Nd 2.98
Se 0.2442 0.7548 0.2442  1 Er 2.90, 2 Ce 2.97, 2 Nd 2.98
Se 0.2452 0.7558 0.7558  1 Er 2.90, 2 Ce 2.97, 2 Nd 2.98
Se 0.2505 0.2505 0.2505  3 Ce 2.97, 3 Nd 2.98
Se 0.7495 0.7495 0.7495  3 Ce 2.97, 3 Nd 2.98
Se 0.7548 0.2442 0.2442  1 Er 2.90, 2 Ce 2.97, 2 Nd 2.98
Se 0.7558 0.2452 0.7558  1 Er 2.90, 2 Ce 2.97, 2 Nd 2.98
Se 0.7558 0.7558 0.2452  1 Er 2.90, 2 Ce 2.97, 2 Nd 2.98

***

No. 2
## NdHf2P4 (PBE)

Data for a relaxed NdHf2P4 crystal.

As for the formation enthalpy at 0 K: -1.030 eV per atom. As for the total DFT energy (no corrections): -107.04 eV/cell.

Lattice parameters (Å, degrees): 6.5275 6.5275 12.3045 90.00 90.00 146.09
Closest atoms and distances in Å follow each position.
Fractional positions:
Nd 0.1057 0.8943 0.7500  6 P 2.88-2.95
Nd 0.8943 0.1057 0.2500  6 P 2.88-2.95
Hf 0.3654 0.6346 0.5558  6 P 2.53-2.63
Hf 0.3654 0.6346 0.9442  6 P 2.53-2.63
Hf 0.6346 0.3654 0.0558  6 P 2.53-2.63
Hf 0.6346 0.3654 0.4442  6 P 2.53-2.63
P 0.0000 0.0000 0.0000  4 Hf 2.63
P 0.0000 0.0000 0.5000  4 Hf 2.63
P 0.2600 0.7400 0.1270  3 Hf 2.61-2.62
P 0.2600 0.7400 0.3730  3 Hf 2.61-2.62
P 0.4327 0.5673 0.7500  2 Hf 2.53
P 0.5673 0.4327 0.2500  2 Hf 2.53
P 0.7400 0.2600 0.6270  3 Hf 2.61-2.62
P 0.7400 0.2600 0.8730  3 Hf 2.61-2.62

***

No. 3
## TaHg2Au (PBE)

Data for a relaxed TaHg2Au crystal.

As for the formation enthalpy at 0 K: 0.624 eV per atom. The calculation puts the energy above the most stable polymorph in this dataset at 443 meV/atom. As for the total DFT energy (no corrections): -26.48 eV/cell.

Lattice parameters (Å, degrees): 6.1693 6.1693 6.1693 102.87 102.87 123.68
Closest atoms and distances in Å follow each position.
Fractional positions:
Ta 0.0000 0.0000 0.0000  4 Hg 2.82, 2 Au 2.91
Ta 0.7500 0.2500 0.5000  4 Hg 2.82, 2 Au 2.91
Hg 0.1256 0.6250 0.0006  2 Au 2.81, 2 Ta 2.82, 2 Hg 2.91
Hg 0.3750 0.3756 0.5006  2 Au 2.81, 2 Ta 2.82, 2 Hg 2.91
Hg 0.6244 0.1250 0.9994  2 Au 2.81, 2 Ta 2.82, 2 Hg 2.91
Hg 0.8750 0.8744 0.4994  2 Au 2.81, 2 Ta 2.82, 2 Hg 2.91
Au 0.2500 0.7500 0.5000  4 Hg 2.81, 2 Ta 2.91
Au 0.5000 0.5000 0.0000  4 Hg 2.81, 2 Ta 2.91

***

No. 4
## SrLi2Ag3 (PBE)

Data for a relaxed SrLi2Ag3 crystal.

As for the formation enthalpy at 0 K: -0.208 eV per atom. As for the total DFT energy (no corrections): -30.63 eV/cell.

Lattice parameters (Å, degrees): 7.1704 7.1704 5.3544 90.00 90.00 79.55
Closest atoms and distances in Å follow each position.
Fractional positions:
Sr 0.1982 0.8018 0.7500  9 Ag 3.36-3.46
Sr 0.8018 0.1982 0.2500  9 Ag 3.36-3.46
Li 0.2864 0.2864 0.0000  2 Li 2.68, 6 Ag 2.72-2.79
Li 0.2864 0.2864 0.5000  2 Li 2.68, 6 Ag 2.72-2.79
Li 0.7136 0.7136 0.0000  2 Li 2.68, 6 Ag 2.72-2.79
Li 0.7136 0.7136 0.5000  2 Li 2.68, 6 Ag 2.72-2.79
Ag 0.0375 0.5694 0.2500  4 Li 2.72-2.79, 3 Ag 2.85-2.94
Ag 0.4306 0.9625 0.2500  4 Li 2.72-2.79, 3 Ag 2.85-2.94
Ag 0.4351 0.5649 0.2500  4 Li 2.77, 4 Ag 2.85-2.93
Ag 0.5649 0.4351 0.7500  4 Li 2.77, 4 Ag 2.85-2.93
Ag 0.5694 0.0375 0.7500  4 Li 2.72-2.79, 3 Ag 2.85-2.94
Ag 0.9625 0.4306 0.7500  4 Li 2.72-2.79, 3 Ag 2.85-2.94

***

No. 5
## Ac4DyAu5 (PBE)

Data for a relaxed Ac4DyAu5 crystal.

As for the formation enthalpy at 0 K: -0.775 eV per atom. As for the total DFT energy (no corrections): -45.18 eV/cell.

Lattice parameters (Å, degrees): 3.8290 3.8290 19.4361 90.00 90.00 90.00
Closest atoms and distances in Å follow each position.
Fractional positions:
Ac 0.0000 0.0000 0.1030  8 Au 3.37
Ac 0.0000 0.0000 0.3087  8 Au 3.36-3.44, 1 Dy 3.72
Ac 0.0000 0.0000 0.6913  8 Au 3.36-3.44, 1 Dy 3.72
Ac 0.0000 0.0000 0.8970  8 Au 3.37
Dy 0.0000 0.0000 0.5000  8 Au 3.14
Au 0.5000 0.5000 0.0000  8 Ac 3.37
Au 0.5000 0.5000 0.2059  8 Ac 3.36-3.37
Au 0.5000 0.5000 0.4182  4 Dy 3.14, 1 Au 3.18, 4 Ac 3.44
Au 0.5000 0.5000 0.5818  4 Dy 3.14, 1 Au 3.18, 4 Ac 3.44
Au 0.5000 0.5000 0.7941  8 Ac 3.36-3.37

***

No. 6
## PuMg2Zr (PBE)

Data for a relaxed PuMg2Zr crystal.

As for the formation enthalpy at 0 K: 0.107 eV per atom. The calculation puts the energy above the most stable polymorph in this dataset at 0 meV/atom. As for the total DFT energy (no corrections): -25.64 eV/cell.

Lattice parameters (Å, degrees): 3.0833 3.0833 9.8695 90.00 90.00 90.00
Closest atoms and distances in Å follow each position.
Fractional positions:
Pu 0.0000 0.0000 0.0000  4 Pu 3.08, 8 Mg 3.40
Mg 0.5000 0.5000 0.2640  4 Mg 3.08, 4 Zr 3.19, 4 Pu 3.40
Mg 0.5000 0.5000 0.7360  4 Mg 3.08, 4 Zr 3.19, 4 Pu 3.40
Zr 0.0000 0.0000 0.5000  4 Zr 3.08, 8 Mg 3.19